one:
First-principles (PBE-GGA) data for a relaxed structure of Y3ScAl8, as listed in Alexandria.

Lattice parameters (Å, degrees): 5.506 5.506 9.062 90.00 90.00 120.00
Element x y z (fractional)
Y 0.667 0.333 0.435
Y 0.667 0.333 0.069
Y 0.000 0.000 0.930
Sc 0.000 0.000 0.568
Al 0.333 0.667 0.501
Al 0.333 0.667 0.998
Al 0.504 0.009 0.746
Al 0.504 0.496 0.746
Al 0.991 0.496 0.746
Al 0.162 0.324 0.253
Al 0.162 0.838 0.253
Al 0.676 0.838 0.253

## Properties
crystal system: trigonal
space-group type: P3m1
volume: 238 Å³ per cell

=====

two:
First-principles (PBE-GGA) data for a relaxed structure of Y3ScAl8, as listed in Alexandria.

Lattice parameters (Å, degrees): 5.512 5.512 9.591 73.30 73.30 60.00
Element x y z (fractional)
Y 0.375 0.375 0.875
Y 0.999 0.999 0.004
Y 0.501 0.501 0.498
Sc 0.876 0.876 0.373
Al 0.936 0.437 0.190
Al 0.439 0.938 0.685
Al 0.437 0.437 0.190
Al 0.938 0.938 0.685
Al 0.188 0.188 0.437
Al 0.687 0.687 0.938
Al 0.437 0.936 0.190
Al 0.938 0.439 0.685

## Properties
crystal system: trigonal
space-group type: R3m
volume: 238 Å³ per cell

=====

What should be chosen as the most stable of them? Choose two.

=====

one:
First-principles (PBE-GGA) data for a relaxed structure of YSc2Al2, as listed in Alexandria.

Lattice parameters (Å, degrees): 4.494 4.494 6.778 70.64 70.64 90.00
Element x y z (fractional)
Y 0.000 0.000 0.000
Sc 0.380 0.380 0.241
Sc 0.620 0.620 0.759
Al 0.750 0.250 0.500
Al 0.250 0.750 0.500

## Properties
crystal system: tetragonal
space-group type: I4/mmm
volume: 121 Å³ per cell

=====

two:
First-principles (PBE-GGA) data for a relaxed structure of YSc2Al2, as listed in Alexandria.

Lattice parameters (Å, degrees): 3.473 4.980 12.859 90.00 97.76 90.00
Element x y z (fractional)
Y 0.854 0.750 0.707
Y 0.146 0.250 0.293
Sc 0.049 0.750 0.097
Sc 0.951 0.250 0.903
Sc 0.236 0.750 0.472
Sc 0.764 0.250 0.528
Al 0.643 0.750 0.287
Al 0.357 0.250 0.713
Al 0.455 0.750 0.910
Al 0.545 0.250 0.090

## Properties
crystal system: monoclinic
space-group type: P2_1/m
volume: 220 Å³ per cell

=====

three:
First-principles (PBE-GGA) data for a relaxed structure of YSc2Al2, as listed in Alexandria.

Lattice parameters (Å, degrees): 8.085 8.085 3.454 90.00 90.00 90.00
Element x y z (fractional)
Y 0.000 0.000 0.000
Y 0.500 0.500 0.000
Sc 0.177 0.677 0.500
Sc 0.677 0.823 0.500
Sc 0.823 0.323 0.500
Sc 0.323 0.177 0.500
Al 0.381 0.881 0.000
Al 0.881 0.619 0.000
Al 0.619 0.119 0.000
Al 0.119 0.381 0.000

## Properties
crystal system: tetragonal
space-group type: P4/mbm
volume: 226 Å³ per cell

=====

What should be chosen as the most stable of them? Choose two.

=====

one:
First-principles (PBE-GGA) data for a relaxed structure of YSc2Al2, as listed in Alexandria.

Lattice parameters (Å, degrees): 8.433 8.433 3.115 90.00 90.00 90.00
Element x y z (fractional)
Y 0.000 0.000 0.000
Y 0.500 0.500 0.000
Sc 0.377 0.877 0.000
Sc 0.877 0.623 0.000
Sc 0.623 0.123 0.000
Sc 0.123 0.377 0.000
Al 0.175 0.675 0.500
Al 0.675 0.825 0.500
Al 0.825 0.325 0.500
Al 0.325 0.175 0.500

## Properties
crystal system: tetragonal
space-group type: P4/mbm
volume: 222 Å³ per cell

=====

two:
First-principles (PBE-GGA) data for a relaxed structure of YSc2Al2, as listed in Alexandria.

Lattice parameters (Å, degrees): 4.886 4.886 5.901 90.00 90.00 120.00
Element x y z (fractional)
Y 0.000 0.000 0.000
Sc 0.333 0.667 0.648
Sc 0.667 0.333 0.352
Al 0.333 0.667 0.169
Al 0.667 0.333 0.831

## Properties
crystal system: trigonal
space-group type: P-3m1
volume: 122 Å³ per cell

=====

three:
First-principles (PBE-GGA) data for a relaxed structure of YSc2Al2, as listed in Alexandria.

Lattice parameters (Å, degrees): 4.317 4.317 7.053 72.18 72.18 90.00
Element x y z (fractional)
Y 0.000 0.000 0.000
Sc 0.750 0.250 0.500
Sc 0.250 0.750 0.500
Al 0.401 0.401 0.198
Al 0.599 0.599 0.802

## Properties
crystal system: tetragonal
space-group type: I4/mmm
volume: 118 Å³ per cell

=====

What should be chosen as the most stable of them? Choose one.

=====

one:
First-principles (PBE-GGA) data for a relaxed structure of Y4ScAl, as listed in Alexandria.

Lattice parameters (Å, degrees): 6.087 8.935 8.192 114.51 100.36 110.57
Element x y z (fractional)
Y 0.056 0.194 0.809
Y 0.768 0.712 0.632
Y 0.254 0.615 0.809
Y 0.364 0.920 0.632
Y 0.636 0.080 0.368
Y 0.746 0.385 0.191
Y 0.232 0.288 0.368
Y 0.944 0.806 0.191
Sc 0.357 0.607 0.215
Sc 0.643 0.393 0.785
Al 0.250 0.000 0.999
Al 0.750 0.000 0.001

## Properties
crystal system: monoclinic
space-group type: C2/c
volume: 351 Å³ per cell

=====

two:
First-principles (PBE-GGA) data for a relaxed structure of Y4ScAl, as listed in Alexandria.

Lattice parameters (Å, degrees): 3.483 5.649 9.713 82.18 79.67 72.04
Element x y z (fractional)
Y 0.663 0.509 0.164
Y 0.337 0.491 0.836
Y 0.139 0.077 0.646
Y 0.861 0.923 0.354
Sc 0.000 0.000 0.000
Al 0.500 0.500 0.500

## Properties
crystal system: monoclinic
space-group type: C2/m
volume: 178 Å³ per cell

=====

three:
First-principles (PBE-GGA) data for a relaxed structure of Y4ScAl, as listed in Alexandria.

Lattice parameters (Å, degrees): 6.287 6.287 6.287 60.00 60.00 60.00
Element x y z (fractional)
Y 0.877 0.374 0.374
Y 0.374 0.374 0.877
Y 0.374 0.877 0.374
Y 0.374 0.374 0.374
Sc 0.000 0.000 0.000
Al 0.750 0.750 0.750

## Properties
crystal system: cubic
space-group type: F-43m
volume: 176 Å³ per cell

=====

What should be chosen as the most stable of them? Choose one.

=====

one:
First-principles (PBE-GGA) data for a relaxed structure of Sc4AlZn2, as listed in Alexandria.

Lattice parameters (Å, degrees): 5.176 5.176 6.966 111.81 111.81 90.00
Element x y z (fractional)
Sc 0.750 0.250 0.500
Sc 0.250 0.750 0.500
Sc 0.500 0.000 0.000
Sc 0.000 0.500 0.000
Al 0.000 0.000 0.000
Zn 0.621 0.621 0.242
Zn 0.379 0.379 0.758

## Properties
crystal system: tetragonal
space-group type: I4/mmm
volume: 159 Å³ per cell

=====

two:
First-principles (PBE-GGA) data for a relaxed structure of Sc4AlZn2, as listed in Alexandria.

Lattice parameters (Å, degrees): 4.694 4.694 8.012 72.97 72.97 60.00
Element x y z (fractional)
Sc 0.869 0.869 0.392
Sc 0.131 0.131 0.608
Sc 0.615 0.615 0.155
Sc 0.385 0.385 0.845
Zn 0.743 0.743 0.770
Zn 0.257 0.257 0.230
Al 0.000 0.000 0.000

## Properties
crystal system: trigonal
space-group type: R-3m
volume: 144 Å³ per cell

=====

What should be chosen as the most stable of them? Choose two.

=====

one:
First-principles (PBE-GGA) data for a relaxed structure of Sc2AlZn, as listed in Alexandria.

Lattice parameters (Å, degrees): 5.526 5.526 5.526 136.57 136.57 63.10
Element x y z (fractional)
Sc 0.000 0.000 0.000
Sc 0.250 0.750 0.500
Zn 0.500 0.500 0.000
Al 0.750 0.250 0.500

## Properties
crystal system: tetragonal
space-group type: I-4m2
volume: 79 Å³ per cell

=====

two:
First-principles (PBE-GGA) data for a relaxed structure of Sc2AlZn, as listed in Alexandria.

Lattice parameters (Å, degrees): 3.351 3.351 6.793 90.00 90.00 90.00
Element x y z (fractional)
Sc 0.000 0.000 0.007
Sc 0.000 0.000 0.493
Zn 0.500 0.500 0.250
Al 0.500 0.500 0.750

## Properties
crystal system: tetragonal
space-group type: P4/mmm
volume: 76 Å³ per cell

=====

three:
First-principles (PBE-GGA) data for a relaxed structure of Sc2AlZn, as listed in Alexandria.

Lattice parameters (Å, degrees): 4.882 4.882 5.599 78.48 78.48 39.12
Element x y z (fractional)
Sc 0.002 0.002 0.999
Sc 0.498 0.498 0.501
Zn 0.750 0.750 0.750
Al 0.250 0.250 0.250

## Properties
crystal system: monoclinic
space-group type: C2/m
volume: 82 Å³ per cell

=====

What should be chosen as the most stable of them? Choose two.

=====

one:
First-principles (PBE-GGA) data for a relaxed structure of Sc2AlZn, as listed in Alexandria.

Lattice parameters (Å, degrees): 5.735 5.735 4.730 65.74 65.74 33.55
Element x y z (fractional)
Sc 0.994 0.994 0.006
Sc 0.766 0.766 0.734
Zn 0.519 0.519 0.482
Al 0.222 0.222 0.278

## Properties
crystal system: monoclinic
space-group type: Cm
volume: 78 Å³ per cell

=====

two:
First-principles (PBE-GGA) data for a relaxed structure of Sc2AlZn, as listed in Alexandria.

Lattice parameters (Å, degrees): 4.766 4.766 4.766 60.00 60.00 60.00
Element x y z (fractional)
Sc 0.250 0.250 0.250
Sc 0.750 0.750 0.750
Zn 0.500 0.500 0.500
Al 0.000 0.000 0.000

## Properties
crystal system: cubic
space-group type: Fm-3m
volume: 77 Å³ per cell

=====

What should be chosen as the most stable of them? Choose two.

=====

one:
First-principles (PBE-GGA) data for a relaxed structure of Sc2AlZn, as listed in Alexandria.

Lattice parameters (Å, degrees): 3.138 3.138 7.927 90.00 90.00 89.99
Element x y z (fractional)
Sc 0.000 0.000 0.974
Sc 0.500 0.500 0.282
Zn 0.000 0.000 0.523
Al 0.500 0.500 0.721

## Properties
crystal system: tetragonal
space-group type: P4mm
volume: 78 Å³ per cell

=====

two:
First-principles (PBE-GGA) data for a relaxed structure of Sc2AlZn, as listed in Alexandria.

Lattice parameters (Å, degrees): 7.450 7.450 6.089 52.28 52.28 90.00
Element x y z (fractional)
Sc 0.643 0.125 0.250
Sc 0.107 0.625 0.250
Sc 0.375 0.357 0.750
Sc 0.875 0.893 0.750
Zn 0.000 0.000 0.000
Zn 0.750 0.250 0.500
Al 0.500 0.500 0.000
Al 0.250 0.750 0.500

## Properties
crystal system: tetragonal
space-group type: I-42d
volume: 170 Å³ per cell

=====

three:
First-principles (PBE-GGA) data for a relaxed structure of Sc2AlZn, as listed in Alexandria.

Lattice parameters (Å, degrees): 9.178 9.178 9.178 20.42 20.42 20.42
Element x y z (fractional)
Sc 0.998 0.998 0.998
Sc 0.502 0.502 0.502
Zn 0.250 0.250 0.250
Al 0.750 0.750 0.750

## Properties
crystal system: trigonal
space-group type: R-3m
volume: 82 Å³ per cell

=====

four:
First-principles (PBE-GGA) data for a relaxed structure of Sc2AlZn, as listed in Alexandria.

Lattice parameters (Å, degrees): 4.788 4.788 4.788 60.00 60.00 60.00
Element x y z (fractional)
Sc 0.000 0.000 0.000
Sc 0.250 0.250 0.250
Zn 0.750 0.750 0.750
Al 0.500 0.500 0.500

## Properties
crystal system: cubic
space-group type: F-43m
volume: 78 Å³ per cell

=====

What should be chosen as the most stable of them? Choose one.

=====

one:
First-principles (PBE-GGA) data for a relaxed structure of ScAlZn3, as listed in Alexandria.

Lattice parameters (Å, degrees): 4.686 4.686 4.686 90.00 90.00 90.00
Element x y z (fractional)
Sc 0.500 0.500 0.500
Zn 0.000 0.500 0.000
Zn 0.000 0.000 0.500
Zn 0.500 0.000 0.000
Al 0.000 0.000 0.000

## Properties
crystal system: cubic
space-group type: Pm-3m
volume: 103 Å³ per cell

=====

two:
First-principles (PBE-GGA) data for a relaxed structure of ScAlZn3, as listed in Alexandria.

Lattice parameters (Å, degrees): 5.197 5.197 5.197 90.00 90.00 90.00
Element x y z (fractional)
Sc 0.000 0.000 0.000
Zn 0.000 0.500 0.000
Zn 0.000 0.000 0.500
Zn 0.500 0.000 0.000
Al 0.500 0.500 0.500

## Properties
crystal system: cubic
space-group type: Pm-3m
volume: 140 Å³ per cell

=====

What should be chosen as the most stable of them? Choose one.

=====

one:
First-principles (PBE-GGA) data for a relaxed structure of ScAlZn4, as listed in Alexandria.

Lattice parameters (Å, degrees): 5.197 5.197 5.197 60.00 60.00 60.00
Element x y z (fractional)
Sc 0.000 0.000 0.000
Al 0.750 0.750 0.750
Zn 0.877 0.374 0.374
Zn 0.374 0.374 0.877
Zn 0.374 0.877 0.374
Zn 0.374 0.374 0.374

## Properties
crystal system: cubic
space-group type: F-43m
volume: 99 Å³ per cell

=====

two:
First-principles (PBE-GGA) data for a relaxed structure of ScAlZn4, as listed in Alexandria.

Lattice parameters (Å, degrees): 4.383 4.381 5.899 87.38 87.23 119.48
Element x y z (fractional)
Sc 0.004 0.499 0.498
Al 0.004 0.499 0.998
Zn 0.703 0.862 0.249
Zn 0.305 0.137 0.747
Zn 0.641 0.801 0.747
Zn 0.367 0.198 0.249

## Properties
crystal system: triclinic
space-group type: P-1
volume: 98 Å³ per cell

=====

What should be chosen as the most stable of them? Choose two.